DFT (PBE) results for a relaxed structure of KBa2CaTi.

Lattice parameters (Å, degrees): 6.5044 6.7279 6.5044 90.00 90.00 90.00
Sites, in units of the cell vectors:
Ca (0.5000, 0.5000, 0.5000)
Ba (0.0000, 0.0000, 0.5000)
Ba (0.5000, 0.0000, 0.0000)
Ti (0.0000, 0.0000, 0.0000)
K (0.0000, 0.5000, 0.0000)

Calculated values
Electronic total energy   -2.246 eV per atom
ρ   2.34 Mg/m³
Energy relative to the elements   0.72 eV/atom